# 1
LaTl2Cu: optimized geometry, PBE-GGA.

POSCAR file:
```
LaTl2Cu
1.0
-2.281 2.281 10.905
2.281 -2.281 10.905
2.281 2.281 -10.905
La Tl Cu
2 4 2
direct
0.000 0.000 0.000 La
0.750 0.250 0.500 La
0.161 0.625 0.036 Tl
0.375 0.411 0.536 Tl
0.589 0.125 0.964 Tl
0.875 0.839 0.464 Tl
0.250 0.750 0.500 Cu
0.500 0.500 0.000 Cu
```

Values from the calculation:
The calculation puts the energy above the lowest structure with this stoichiometry at 0.206 eV/atom. Its space-group type is I-42d, No. 122. The value obtained for the formation enthalpy at 0 K is 0.05 eV/atom. The size of the total moment comes out at 0.0 μB per formula unit. Its calculated volume is 28.4 Å³/atom.

# 2
LaTl2Cu: optimized geometry, PBE-GGA.

POSCAR file:
```
LaTl2Cu
1.0
3.501 0.000 0.000
0.000 3.613 0.000
0.000 0.000 7.808
La Tl Cu
1 2 1
direct
0.000 0.000 0.000 La
0.500 0.500 0.298 Tl
0.500 0.500 0.702 Tl
0.000 0.000 0.500 Cu
```

Values from the calculation:
The calculation puts the energy above the lowest structure with this stoichiometry at 0.101 eV/atom. Its space-group type is Pmmm, No. 47. The value obtained for the formation enthalpy at 0 K is -0.05 eV/atom. The size of the total moment comes out at 0.0 μB per formula unit. Its calculated volume is 24.7 Å³/atom.

# 3
LaTl2Cu: optimized geometry, PBE-GGA.

POSCAR file:
```
LaTl2Cu
1.0
3.099 -5.963 0.000
3.099 5.963 0.000
-3.088 0.000 3.130
La Tl Cu
1 2 1
direct
0.000 0.000 0.000 La
0.000 0.500 0.500 Tl
0.500 0.000 0.500 Tl
0.500 0.500 0.000 Cu
```

Values from the calculation:
The calculation puts the energy above the lowest structure with this stoichiometry at 0.224 eV/atom. Its space-group type is C2/m, No. 12. The value obtained for the formation enthalpy at 0 K is 0.07 eV/atom. The size of the total moment comes out at 0.0 μB per formula unit. Its calculated volume is 28.9 Å³/atom.